A relaxed CsMn2P2 crystal. Source: Alexandria via LeMat-Bulk, functional PBEsol.

The value obtained for the spin magnetization is 3.54 μB per cell. As for the space group: I4/mmm (139). The energy of formation is -227 kJ/mol of formula units.

a b c (Å): 3.7521 3.7521 7.7047
angles (deg): 104.09 104.09 90.00
With the nearest neighbours (Å) after each atom.
Fractional positions:
P1 0.6648 0.6648 0.3296  4 Mn 2.24
Mn1 0.2500 0.7500 0.5000  4 P 2.24
Cs1 0.0000 0.0000 0.0000  8 P 3.57, 4 Cs 3.75
Mn2 0.7500 0.2500 0.5000  4 P 2.24
P2 0.3352 0.3352 0.6704  4 Mn 2.24


A relaxed Mn2FeSi crystal. Source: Alexandria via LeMat-Bulk, functional PBEsol.

The value obtained for the spin magnetization is 2.24 μB per cell. As for the space group: Pmmm (47). The formation energy (no corrections) is -191 meV/atom.

a b c (Å): 2.5132 3.5318 4.8158
angles (deg): 90.00 90.00 90.00
With the nearest neighbours (Å) after each atom.
Fractional positions:
Mn1 0.0000 0.0000 0.7488  4 Mn 2.40-2.51, 4 Fe 2.48, 4 Si 2.48
Fe1 0.5000 0.5000 0.5000  2 Si 2.41, 8 Mn 2.48, 2 Fe 2.51
Mn2 0.0000 0.0000 0.2512  4 Mn 2.40-2.51, 4 Fe 2.48, 4 Si 2.48
Si1 0.5000 0.5000 0.0000  2 Fe 2.41, 8 Mn 2.48, 2 Si 2.51


A relaxed SrTi3Mo crystal. Source: Alexandria via LeMat-Bulk, functional PBEsol.

The value obtained for the spin magnetization is 1.04 μB per cell. As for the space group: Pm-3m (221). The energy of formation is 300 kJ/mol of formula units.

a b c (Å): 4.8555 4.8555 4.8555
angles (deg): 90.00 90.00 90.00
With the nearest neighbours (Å) after each atom.
Fractional positions:
Ti1 0.5000 0.0000 0.0000  2 Mo 2.43
Mo1 0.0000 0.0000 0.0000  6 Ti 2.43
Ti2 0.0000 0.5000 0.0000  2 Mo 2.43
Ti3 0.0000 0.0000 0.5000  2 Mo 2.43
Sr1 0.5000 0.5000 0.5000  12 Ti 3.43


A relaxed Cd2AgHg crystal. Source: Alexandria via LeMat-Bulk, functional PBEsol.

The value obtained for the spin magnetization is 0.00 μB per cell. As for the space group: I4/mmm (139). The energy of formation is -5 kJ/mol of formula units.

a b c (Å): 4.3937 4.3937 5.0940
angles (deg): 115.55 115.55 90.00
With the nearest neighbours (Å) after each atom.
Fractional positions:
Ag1 0.0000 0.0000 0.0000  8 Cd 2.98, 4 Hg 3.11
Cd1 0.2500 0.7500 0.5000  4 Ag 2.98, 4 Hg 2.98, 4 Cd 3.11
Cd2 0.7500 0.2500 0.5000  4 Hg 2.98, 4 Ag 2.98, 4 Cd 3.11
Hg1 0.5000 0.5000 0.0000  8 Cd 2.98, 4 Ag 3.11


A relaxed NbCdSe3 crystal. Source: Alexandria via LeMat-Bulk, functional PBEsol.

The value obtained for the spin magnetization is 0.00 μB per cell. As for the space group: Pm-3m (221). The formation energy (no corrections) is -139 meV/atom.

a b c (Å): 5.0067 5.0067 5.0067
angles (deg): 90.00 90.00 90.00
With the nearest neighbours (Å) after each atom.
Fractional positions:
Se1 0.0000 0.0000 0.5000  2 Nb 2.50
Se2 0.0000 0.5000 0.0000  2 Nb 2.50
Nb1 0.0000 0.0000 0.0000  6 Se 2.50
Se3 0.5000 0.0000 0.0000  2 Nb 2.50
Cd1 0.5000 0.5000 0.5000  12 Se 3.54


A relaxed Mg2InRu crystal. Source: Alexandria via LeMat-Bulk, functional PBEsol.

The value obtained for the spin magnetization is 0.00 μB per cell. As for the space group: Immm (71). The energy of formation is -20 kJ/mol of formula units.

a b c (Å): 3.3247 4.5032 5.4704
angles (deg): 114.31 107.69 90.00
With the nearest neighbours (Å) after each atom.
Fractional positions:
Ru1 0.5000 0.0000 0.0000  4 Mg 2.70, 4 In 2.80
Mg1 0.2257 0.2257 0.4514  2 Ru 2.70, 4 Mg 2.84
Mg2 0.7743 0.7743 0.5486  2 Ru 2.70, 4 Mg 2.84
In1 0.0000 0.5000 0.0000  4 Ru 2.80, 8 Mg 3.07-3.09


A relaxed Ta5Ru crystal. Source: Alexandria via LeMat-Bulk, functional PBEsol.

The value obtained for the spin magnetization is 0.00 μB per cell. As for the space group: P4/mmm (123). The energy above the most stable polymorph in this dataset comes out at 0.12 eV/f.u. The energy of formation is -104 kJ/mol of formula units.

a b c (Å): 3.2068 3.2068 9.8116
angles (deg): 90.00 90.00 90.00
With the nearest neighbours (Å) after each atom.
Fractional positions:
Ta1 0.5000 0.5000 0.3307  8 Ta 2.81-2.83
Ta2 0.5000 0.5000 0.6693  8 Ta 2.81-2.83
Ta3 0.0000 0.0000 0.5000  8 Ta 2.81
Ta4 0.0000 0.0000 0.1588  4 Ru 2.75, 4 Ta 2.83
Ta5 0.0000 0.0000 0.8412  4 Ru 2.75, 4 Ta 2.83
Ru1 0.5000 0.5000 0.0000  8 Ta 2.75


A relaxed SrLaBi2Se crystal. Source: Alexandria via LeMat-Bulk, functional PBEsol.

The value obtained for the spin magnetization is 0.00 μB per cell. As for the space group: P4/mmm (123). The formation energy (no corrections) is -59 meV/atom.

a b c (Å): 5.4915 5.8057 5.8057
angles (deg): 90.00 90.00 90.00
With the nearest neighbours (Å) after each atom.
Fractional positions:
Sr1 0.0000 0.0000 0.0000  2 Se 2.75, 4 Bi 2.90
Se1 0.5000 0.0000 0.0000  2 Sr 2.75
La1 0.5000 0.5000 0.5000  8 Bi 4.00, 4 Se 4.11
Bi1 0.0000 0.0000 0.5000  2 Sr 2.90
Bi2 0.0000 0.5000 0.0000  2 Sr 2.90


A relaxed Sr4Al6WO16 crystal. Source: Alexandria via LeMat-Bulk, functional PBEsol.

The value obtained for the spin magnetization is 0.00 μB per cell. As for the space group: I-43m (217). The formation energy (no corrections) is -2950 meV/atom.

a b c (Å): 8.2647 8.2647 8.2647
angles (deg): 109.47 109.47 109.47
With the nearest neighbours (Å) after each atom.
Fractional positions:
Sr1 0.0000 0.4961 0.0000  4 O 2.38-2.67
O1 0.0000 0.3384 0.6575  2 Al 1.75
Sr2 0.0000 0.0000 0.4961  4 O 2.38-2.67
Al1 0.2500 0.5000 0.7500  4 O 1.75
O2 0.6575 0.3384 0.0000  2 Al 1.75
Sr3 0.5039 0.5039 0.5039  4 O 2.38-2.67
O3 0.3190 0.6616 0.6616  2 Al 1.75
O4 0.3384 0.0000 0.6575  2 Al 1.75
Al2 0.5000 0.2500 0.7500  4 O 1.75
Sr4 0.4961 0.0000 0.0000  4 O 2.38-2.67
O5 0.7843 0.0000 0.0000  1 W 1.78
O6 0.3425 0.3425 0.6810  2 Al 1.75
Al3 0.5000 0.7500 0.2500  4 O 1.75
O7 0.6810 0.3425 0.3425  2 Al 1.75
O8 0.0000 0.0000 0.7843  1 W 1.78
O9 0.3384 0.6575 0.0000  2 Al 1.75
O10 0.6616 0.3190 0.6616  2 Al 1.75
O11 0.0000 0.6575 0.3384  2 Al 1.75
O12 0.2157 0.2157 0.2157  1 W 1.78
Al4 0.7500 0.5000 0.2500  4 O 1.75
Al5 0.2500 0.7500 0.5000  4 O 1.75
Al6 0.7500 0.2500 0.5000  4 O 1.75
O13 0.6575 0.0000 0.3384  2 Al 1.75
O14 0.6616 0.6616 0.3190  2 Al 1.75
O15 0.0000 0.7843 0.0000  1 W 1.78
W1 0.0000 0.0000 0.0000  4 O 1.78
O16 0.3425 0.6810 0.3425  2 Al 1.75


A relaxed KHg2Au crystal. Source: Alexandria via LeMat-Bulk, functional PBEsol.

The value obtained for the spin magnetization is 0.00 μB per cell. As for the space group: Imm2 (44). The energy above the most stable polymorph in this dataset comes out at 0.42 eV/f.u. The energy of formation is -29 kJ/mol of formula units.

a b c (Å): 4.2282 4.9903 5.8081
angles (deg): 115.44 111.35 90.00
With the nearest neighbours (Å) after each atom.
Fractional positions:
K1 0.5105 0.5105 0.0210  8 Hg 3.29-3.36, 4 Au 3.29-3.38
Au1 0.2732 0.7732 0.5463  2 Hg 2.89
Hg1 0.7385 0.2385 0.4771  4 Hg 3.28-3.39, 4 Au 3.29, 4 K 3.32-3.36
Hg2 0.9778 0.9778 0.9556  2 Au 2.89


A relaxed Nb3Sn crystal. Source: Alexandria via LeMat-Bulk, functional PBEsol.

The value obtained for the spin magnetization is 0.00 μB per cell. As for the space group: Pm-3n (223). The energy of formation is -82 kJ/mol of formula units.

a b c (Å): 5.2676 5.2676 5.2676
angles (deg): 90.00 90.00 90.00
With the nearest neighbours (Å) after each atom.
Fractional positions:
Nb1 0.5000 0.2500 0.0000  2 Nb 2.63, 4 Sn 2.94
Sn1 0.0000 0.0000 0.0000  12 Nb 2.94
Nb2 0.7500 0.0000 0.5000  2 Nb 2.63, 4 Sn 2.94
Nb3 0.5000 0.7500 0.0000  2 Nb 2.63, 4 Sn 2.94
Sn2 0.5000 0.5000 0.5000  12 Nb 2.94
Nb4 0.0000 0.5000 0.2500  2 Nb 2.63, 4 Sn 2.94
Nb5 0.2500 0.0000 0.5000  2 Nb 2.63, 4 Sn 2.94
Nb6 0.0000 0.5000 0.7500  2 Nb 2.63, 4 Sn 2.94


A relaxed Ba2MnCo crystal. Source: Alexandria via LeMat-Bulk, functional PBEsol.

The value obtained for the spin magnetization is 4.63 μB per cell. As for the space group: P4mm (99). The energy above the most stable polymorph in this dataset comes out at 0.00 eV/f.u. The energy of formation is 219 kJ/mol of formula units.

a b c (Å): 3.4859 3.4859 9.1166
angles (deg): 90.00 90.00 90.00
With the nearest neighbours (Å) after each atom.
Fractional positions:
Ba1 0.0000 0.0000 0.9111  1 Co 2.86
Ba2 0.5000 0.5000 0.3355  1 Mn 2.92
Mn1 0.5000 0.5000 0.6563  4 Co 2.52
Co1 0.0000 0.0000 0.5971  4 Mn 2.52


A relaxed Cs3FeF6 crystal. Source: Alexandria via LeMat-Bulk, functional PBEsol.

The value obtained for the spin magnetization is 1.00 μB per cell. As for the space group: Fm-3m (225). The formation energy (no corrections) is -2494 meV/atom.

a b c (Å): 6.5180 6.5180 6.5180
angles (deg): 60.00 60.00 60.00
With the nearest neighbours (Å) after each atom.
Fractional positions:
Cs1 0.5000 0.5000 0.5000  6 F 2.75
Cs2 0.7500 0.7500 0.7500  12 F 3.29
F1 0.7979 0.7979 0.2021  1 Fe 1.86
Fe1 0.0000 0.0000 0.0000  6 F 1.86
F2 0.2021 0.2021 0.7979  1 Fe 1.86
Cs3 0.2500 0.2500 0.2500  12 F 3.29
F3 0.2021 0.7979 0.2021  1 Fe 1.86
F4 0.7979 0.2021 0.7979  1 Fe 1.86
F5 0.7979 0.2021 0.2021  1 Fe 1.86
F6 0.2021 0.7979 0.7979  1 Fe 1.86


A relaxed LaFeSi2 crystal. Source: Alexandria via LeMat-Bulk, functional PBEsol.

The value obtained for the spin magnetization is 0.00 μB per cell. As for the space group: Cmcm (63). The formation energy (no corrections) is -715 meV/atom.

a b c (Å): 4.0163 4.1171 8.7009
angles (deg): 76.32 90.00 90.00
With the nearest neighbours (Å) after each atom.
Fractional positions:
Si1 0.2500 0.5382 0.9239  3 Si 2.39-2.57
Si2 0.7500 0.3097 0.3804  4 Fe 2.25-2.29
Si3 0.7500 0.4618 0.0761  3 Si 2.39-2.57
Fe1 0.7500 0.7499 0.5001  4 Si 2.25-2.29
Si4 0.2500 0.6903 0.6196  4 Fe 2.25-2.29
La1 0.2500 0.8918 0.2165  11 Si 3.11-3.41, 4 Fe 3.13-3.16
La2 0.7500 0.1082 0.7835  11 Si 3.11-3.41, 4 Fe 3.13-3.16
Fe2 0.2500 0.2502 0.4999  4 Si 2.25-2.29


A relaxed BaSr3I crystal. Source: Alexandria via LeMat-Bulk, functional PBEsol.

The value obtained for the spin magnetization is 1.04 μB per cell. As for the space group: Pm-3m (221). The formation energy (no corrections) is 581 meV/atom.

a b c (Å): 7.3260 7.3260 7.3260
angles (deg): 90.00 90.00 90.00
With the nearest neighbours (Å) after each atom.
Fractional positions:
Sr1 0.5000 0.0000 0.0000  2 Ba 3.66
Ba1 0.0000 0.0000 0.0000  6 Sr 3.66
Sr2 0.0000 0.0000 0.5000  2 Ba 3.66
Sr3 0.0000 0.5000 0.0000  2 Ba 3.66
I1 0.5000 0.5000 0.5000  12 Sr 5.18


A relaxed NbCu2PF crystal. Source: Alexandria via LeMat-Bulk, functional PBEsol.

The value obtained for the spin magnetization is 0.00 μB per cell. As for the space group: P4/mmm (123). The formation energy (no corrections) is 82 meV/atom.

a b c (Å): 4.1340 4.1340 4.7376
angles (deg): 90.00 90.00 90.00
With the nearest neighbours (Å) after each atom.
Fractional positions:
Nb1 0.0000 0.0000 0.5000  2 P 2.37
Cu1 0.0000 0.5000 0.0000  2 P 2.07
Cu2 0.5000 0.0000 0.0000  2 P 2.07
F1 0.5000 0.5000 0.5000  4 Nb 2.92, 8 Cu 3.14
P1 0.0000 0.0000 0.0000  4 Cu 2.07


A relaxed Ca7GeN6 crystal. Source: Alexandria via LeMat-Bulk, functional PBEsol.

The value obtained for the spin magnetization is 0.00 μB per cell. As for the space group: Pbcn (60). The formation energy (no corrections) is -940 meV/atom.

a b c (Å): 6.1382 10.7496 13.0297
angles (deg): 90.00 90.00 90.00
With the nearest neighbours (Å) after each atom.
Fractional positions:
N1 0.9060 0.3335 0.0059  6 Ca 2.35-2.46
N2 0.4060 0.1665 0.0059  6 Ca 2.35-2.46
Ca1 0.1069 0.7959 0.6164  3 N 2.29-2.46
Ca2 0.3544 0.7300 0.8730  4 N 2.35-2.50
N3 0.2480 0.8670 0.2062  1 Ge 1.90
Ca3 0.3931 0.2959 0.3836  3 N 2.29-2.46
N4 0.7520 0.1330 0.7938  1 Ge 1.90
N5 0.1115 0.0499 0.6404  1 Ge 1.88
Ca4 0.9405 0.5000 0.7500  4 N 2.46-2.53
N6 0.2480 0.1330 0.2938  1 Ge 1.90
N7 0.9060 0.6665 0.4941  6 Ca 2.35-2.46
N8 0.3885 0.4501 0.1404  1 Ge 1.88
N9 0.2520 0.3670 0.7938  1 Ge 1.90
Ca5 0.6456 0.2700 0.1270  4 N 2.35-2.50
Ca6 0.2686 0.9619 0.0219  3 N 2.33-2.45
Ca7 0.8544 0.7700 0.8730  4 N 2.35-2.50
Ca8 0.8931 0.2041 0.3836  3 N 2.29-2.46
Ge1 0.5676 0.5000 0.2500  4 N 1.88-1.90
Ca9 0.7314 0.9619 0.5219  3 N 2.33-2.45
N10 0.8885 0.9501 0.3596  1 Ge 1.88
Ca10 0.7686 0.4619 0.4781  3 N 2.33-2.45
Ca11 0.6069 0.7041 0.6164  3 N 2.29-2.46
N11 0.3885 0.5499 0.3596  1 Ge 1.88
Ca12 0.6456 0.7300 0.3730  4 N 2.35-2.50
Ca13 0.2314 0.5381 0.5219  3 N 2.33-2.45
N12 0.7480 0.3670 0.2938  1 Ge 1.90
Ca14 0.1069 0.2041 0.8836  3 N 2.29-2.46
N13 0.0940 0.3335 0.5059  6 Ca 2.35-2.46
N14 0.5940 0.1665 0.5059  6 Ca 2.35-2.46
Ca15 0.6069 0.2959 0.8836  3 N 2.29-2.46
Ca16 0.2314 0.4619 0.9781  3 N 2.33-2.45
N15 0.6115 0.4501 0.6404  1 Ge 1.88
Ge2 0.4324 0.5000 0.7500  4 N 1.88-1.90
Ca17 0.5595 0.0000 0.2500  4 N 2.46-2.53
Ca18 0.8544 0.2300 0.6270  4 N 2.35-2.50
Ca19 0.3931 0.7041 0.1164  3 N 2.29-2.46
Ca20 0.4405 0.0000 0.7500  4 N 2.46-2.53
Ca21 0.7314 0.0381 0.9781  3 N 2.33-2.45
N16 0.7520 0.8670 0.7062  1 Ge 1.90
N17 0.7480 0.6330 0.2062  1 Ge 1.90
Ca22 0.1456 0.7700 0.3730  4 N 2.35-2.50
N18 0.0940 0.6665 0.9941  6 Ca 2.35-2.46
N19 0.4060 0.8335 0.4941  6 Ca 2.35-2.46
N20 0.1115 0.9501 0.8596  1 Ge 1.88
Ca23 0.1456 0.2300 0.1270  4 N 2.35-2.50
N21 0.8885 0.0499 0.1404  1 Ge 1.88
Ca24 0.8931 0.7959 0.1164  3 N 2.29-2.46
Ge3 0.0676 0.0000 0.2500  4 N 1.88-1.90
Ge4 0.9324 0.0000 0.7500  4 N 1.88-1.90
N22 0.2520 0.6330 0.7062  1 Ge 1.90
Ca25 0.2686 0.0381 0.4781  3 N 2.33-2.45
N23 0.6115 0.5499 0.8596  1 Ge 1.88
Ca26 0.7686 0.5381 0.0219  3 N 2.33-2.45
Ca27 0.0595 0.5000 0.2500  4 N 2.46-2.53
N24 0.5940 0.8335 0.9941  6 Ca 2.35-2.46
Ca28 0.3544 0.2700 0.6270  4 N 2.35-2.50


A relaxed BaMnTc crystal. Source: Alexandria via LeMat-Bulk, functional PBEsol.

The value obtained for the spin magnetization is 1.84 μB per cell. As for the space group: F-43m (216). The energy above the most stable polymorph in this dataset comes out at 0.00 eV/f.u. The energy of formation is 449 kJ/mol of formula units.

a b c (Å): 4.5440 4.5440 4.5440
angles (deg): 60.00 60.00 60.00
With the nearest neighbours (Å) after each atom.
Fractional positions:
Ba1 0.5000 0.5000 0.5000  4 Mn 2.78
Mn1 0.2500 0.2500 0.2500  4 Ba 2.78, 4 Tc 2.78
Tc1 0.0000 0.0000 0.0000  4 Mn 2.78


A relaxed ReHgW2 crystal. Source: Alexandria via LeMat-Bulk, functional PBEsol.

The value obtained for the spin magnetization is 0.00 μB per cell. As for the space group: Pmmm (47). The energy of formation is 178 kJ/mol of formula units.

a b c (Å): 2.8639 3.9845 5.6987
angles (deg): 90.00 90.00 90.00
With the nearest neighbours (Å) after each atom.
Fractional positions:
Hg1 0.5000 0.5000 0.0000  2 Re 2.85, 2 Hg 2.86, 8 W 2.92
W1 0.0000 0.0000 0.2782  1 W 2.53, 4 Re 2.76
Re1 0.5000 0.5000 0.5000  8 W 2.76, 2 Hg 2.85, 2 Re 2.86
W2 0.0000 0.0000 0.7218  1 W 2.53, 4 Re 2.76


A relaxed InTcSnTe2 crystal. Source: Alexandria via LeMat-Bulk, functional PBEsol.

The value obtained for the spin magnetization is 0.00 μB per cell. As for the space group: P4/mmm (123). The formation energy (no corrections) is 345 meV/atom.

a b c (Å): 5.1272 5.2208 5.2208
angles (deg): 90.00 90.00 90.00
With the nearest neighbours (Å) after each atom.
Fractional positions:
In1 0.5000 0.5000 0.5000  8 Te 3.66, 4 Sn 3.69
Te1 0.0000 0.5000 0.0000  2 Tc 2.61
Te2 0.0000 0.0000 0.5000  2 Tc 2.61
Sn1 0.5000 0.0000 0.0000  2 Tc 2.56
Tc1 0.0000 0.0000 0.0000  2 Sn 2.56, 4 Te 2.61